Here is crystalline ErH at its relaxed geometry from Alexandria. Energies are from PBE.

- SG: Fm-3m, No. 225
- Uncorrected energy: -8.59 eV/f.u.
- Crystal system: cubic

Structure (CIF):
```
data_ErH
_chemical_formula_sum 'Er1 H1'
_cell_length_a 3.434
_cell_length_b 3.434
_cell_length_c 3.434
_cell_angle_alpha 60.00
_cell_angle_beta 60.00
_cell_angle_gamma 60.00
_space_group_name_H-M_alt 'P 1'
_space_group_IT_number 1
loop_
_space_group_symop_operation_xyz
'x,y,z'
loop_
_atom_site_label
_atom_site_type_symbol
_atom_site_fract_x
_atom_site_fract_y
_atom_site_fract_z
Er1 Er 0.000 0.000 0.000
H1 H 0.500 0.500 0.500
```



Here is crystalline ErH2 at its relaxed geometry from Alexandria. Energies are from PBE.

- SG: I4/mmm, No. 139
- Uncorrected energy: -13.41 eV/f.u.
- Crystal system: tetragonal

Structure (CIF):
```
data_ErH2
_chemical_formula_sum 'Er1 H2'
_cell_length_a 3.608
_cell_length_b 3.608
_cell_length_c 3.608
_cell_angle_alpha 119.93
_cell_angle_beta 119.93
_cell_angle_gamma 90.12
_space_group_name_H-M_alt 'P 1'
_space_group_IT_number 1
loop_
_space_group_symop_operation_xyz
'x,y,z'
loop_
_atom_site_label
_atom_site_type_symbol
_atom_site_fract_x
_atom_site_fract_y
_atom_site_fract_z
Er1 Er 0.000 0.000 0.000
H1 H 0.250 0.750 0.500
H2 H 0.750 0.250 0.500
```



Here is crystalline ErH4 at its relaxed geometry from Alexandria. Energies are from PBE.

- SG: Pm-3m, No. 221
- Uncorrected energy: -16.72 eV/f.u.
- Crystal system: cubic

Structure (CIF):
```
data_ErH4
_chemical_formula_sum 'Er1 H4'
_cell_length_a 4.148
_cell_length_b 4.148
_cell_length_c 4.148
_cell_angle_alpha 90.00
_cell_angle_beta 90.00
_cell_angle_gamma 90.00
_space_group_name_H-M_alt 'P 1'
_space_group_IT_number 1
loop_
_space_group_symop_operation_xyz
'x,y,z'
loop_
_atom_site_label
_atom_site_type_symbol
_atom_site_fract_x
_atom_site_fract_y
_atom_site_fract_z
Er1 Er 0.000 0.000 0.000
H1 H 0.000 0.000 0.500
H2 H 0.000 0.500 0.000
H3 H 0.500 0.000 0.000
H4 H 0.500 0.500 0.500
```



Here is crystalline Er8H at its relaxed geometry from Alexandria. Energies are from PBE.

- SG: P-3m1, No. 164
- Uncorrected energy: -40.56 eV/f.u.
- Crystal system: trigonal

Structure (CIF):
```
data_Er8H
_chemical_formula_sum 'Er8 H1'
_cell_length_a 7.161
_cell_length_b 7.161
_cell_length_c 5.559
_cell_angle_alpha 90.00
_cell_angle_beta 90.00
_cell_angle_gamma 120.00
_space_group_name_H-M_alt 'P 1'
_space_group_IT_number 1
loop_
_space_group_symop_operation_xyz
'x,y,z'
loop_
_atom_site_label
_atom_site_type_symbol
_atom_site_fract_x
_atom_site_fract_y
_atom_site_fract_z
Er1 Er 0.165 0.331 0.248
Er2 Er 0.165 0.835 0.248
Er3 Er 0.331 0.165 0.752
Er4 Er 0.333 0.667 0.743
Er5 Er 0.667 0.333 0.257
Er6 Er 0.669 0.835 0.248
Er7 Er 0.835 0.165 0.752
Er8 Er 0.835 0.669 0.752
H1 H 0.000 0.000 0.500
```



Here is crystalline Er3H at its relaxed geometry from Alexandria. Energies are from PBE.

- SG: Imm2, No. 44
- Uncorrected energy: -17.03 eV/f.u.
- Crystal system: orthorhombic

Structure (CIF):
```
data_Er3H
_chemical_formula_sum 'Er3 H1'
_cell_length_a 5.881
_cell_length_b 5.881
_cell_length_c 5.881
_cell_angle_alpha 147.26
_cell_angle_beta 69.07
_cell_angle_gamma 121.08
_space_group_name_H-M_alt 'P 1'
_space_group_IT_number 1
loop_
_space_group_symop_operation_xyz
'x,y,z'
loop_
_atom_site_label
_atom_site_type_symbol
_atom_site_fract_x
_atom_site_fract_y
_atom_site_fract_z
Er1 Er 0.000 0.000 0.000
Er2 Er 0.341 0.521 0.821
Er3 Er 0.700 0.521 0.179
H1 H 0.683 0.183 0.500
```



Here is crystalline Er2H5 at its relaxed geometry from Alexandria. Energies are from PBE.

- SG: Ibam, No. 72
- Uncorrected energy: -30.29 eV/f.u.
- Crystal system: orthorhombic

Structure (CIF):
```
data_Er2H5
_chemical_formula_sum 'Er4 H10'
_cell_length_a 6.339
_cell_length_b 6.339
_cell_length_c 6.339
_cell_angle_alpha 130.73
_cell_angle_beta 68.35
_cell_angle_gamma 135.77
_space_group_name_H-M_alt 'P 1'
_space_group_IT_number 1
loop_
_space_group_symop_operation_xyz
'x,y,z'
loop_
_atom_site_label
_atom_site_type_symbol
_atom_site_fract_x
_atom_site_fract_y
_atom_site_fract_z
Er1 Er 0.119 0.234 0.354
Er2 Er 0.381 0.734 0.115
Er3 Er 0.619 0.266 0.885
Er4 Er 0.881 0.766 0.646
H1 H 0.006 0.750 0.256
H2 H 0.084 0.834 0.918
H3 H 0.250 0.750 0.500
H4 H 0.416 0.334 0.749
H5 H 0.494 0.750 0.744
H6 H 0.506 0.250 0.256
H7 H 0.584 0.666 0.251
H8 H 0.750 0.250 0.500
H9 H 0.916 0.166 0.082
H10 H 0.994 0.250 0.744
```



Here is crystalline ErH at its relaxed geometry from Alexandria. Energies are from PBE.

- SG: P4/nmm, No. 129
- Uncorrected energy: -8.64 eV/f.u.
- Crystal system: tetragonal

Structure (CIF):
```
data_ErH
_chemical_formula_sum 'Er2 H2'
_cell_length_a 3.297
_cell_length_b 3.297
_cell_length_c 5.575
_cell_angle_alpha 90.00
_cell_angle_beta 90.00
_cell_angle_gamma 90.00
_space_group_name_H-M_alt 'P 1'
_space_group_IT_number 1
loop_
_space_group_symop_operation_xyz
'x,y,z'
loop_
_atom_site_label
_atom_site_type_symbol
_atom_site_fract_x
_atom_site_fract_y
_atom_site_fract_z
Er1 Er 0.250 0.250 0.240
Er2 Er 0.750 0.750 0.760
H1 H 0.250 0.250 0.840
H2 H 0.750 0.750 0.160
```



Here is crystalline ErHfH2 at its relaxed geometry from Alexandria. Energies are from PBE.

- SG: R-3m, No. 166
- Uncorrected energy: -22.24 eV/f.u.
- Crystal system: trigonal

Structure (CIF):
```
data_ErHfH2
_chemical_formula_sum 'Er1 Hf1 H2'
_cell_length_a 5.801
_cell_length_b 5.801
_cell_length_c 5.801
_cell_angle_alpha 33.18
_cell_angle_beta 33.18
_cell_angle_gamma 33.18
_space_group_name_H-M_alt 'P 1'
_space_group_IT_number 1
loop_
_space_group_symop_operation_xyz
'x,y,z'
loop_
_atom_site_label
_atom_site_type_symbol
_atom_site_fract_x
_atom_site_fract_y
_atom_site_fract_z
Er1 Er 0.000 0.000 0.000
Hf1 Hf 0.500 0.500 0.500
H1 H 0.231 0.231 0.231
H2 H 0.769 0.769 0.769
```



Here is crystalline Er3HfH8 at its relaxed geometry from Alexandria. Energies are from PBE.

- SG: Pm-3m, No. 221
- Uncorrected energy: -58.44 eV/f.u.
- Crystal system: cubic

Structure (CIF):
```
data_Er3HfH8
_chemical_formula_sum 'Er3 Hf1 H8'
_cell_length_a 4.991
_cell_length_b 4.991
_cell_length_c 4.991
_cell_angle_alpha 90.00
_cell_angle_beta 90.00
_cell_angle_gamma 90.00
_space_group_name_H-M_alt 'P 1'
_space_group_IT_number 1
loop_
_space_group_symop_operation_xyz
'x,y,z'
loop_
_atom_site_label
_atom_site_type_symbol
_atom_site_fract_x
_atom_site_fract_y
_atom_site_fract_z
Er1 Er 0.000 0.000 0.500
Er2 Er 0.000 0.500 0.000
Er3 Er 0.500 0.000 0.000
Hf1 Hf 0.500 0.500 0.500
H1 H 0.262 0.262 0.262
H2 H 0.262 0.262 0.738
H3 H 0.262 0.738 0.262
H4 H 0.262 0.738 0.738
H5 H 0.738 0.262 0.262
H6 H 0.738 0.262 0.738
H7 H 0.738 0.738 0.262
H8 H 0.738 0.738 0.738
```



Here is crystalline ErHf3H at its relaxed geometry from Alexandria. Energies are from PBE.

- SG: Pm-3m, No. 221
- Uncorrected energy: -37.67 eV/f.u.
- Crystal system: cubic

Structure (CIF):
```
data_ErHf3H
_chemical_formula_sum 'Er1 Hf3 H1'
_cell_length_a 4.583
_cell_length_b 4.583
_cell_length_c 4.583
_cell_angle_alpha 90.00
_cell_angle_beta 90.00
_cell_angle_gamma 90.00
_space_group_name_H-M_alt 'P 1'
_space_group_IT_number 1
loop_
_space_group_symop_operation_xyz
'x,y,z'
loop_
_atom_site_label
_atom_site_type_symbol
_atom_site_fract_x
_atom_site_fract_y
_atom_site_fract_z
Er1 Er 0.000 0.000 0.000
Hf1 Hf 0.000 0.500 0.500
Hf2 Hf 0.500 0.000 0.500
Hf3 Hf 0.500 0.500 0.000
H1 H 0.500 0.500 0.500
```



Here is crystalline ErHfH at its relaxed geometry from Alexandria. Energies are from PBE.

- SG: P3m1, No. 156
- Crystal system: trigonal
- Energy above the most stable polymorph in this dataset: 53 meV/atom

Structure (CIF):
```
data_ErHfH
_chemical_formula_sum 'Er1 Hf1 H1'
_cell_length_a 3.367
_cell_length_b 3.367
_cell_length_c 5.316
_cell_angle_alpha 90.00
_cell_angle_beta 90.00
_cell_angle_gamma 120.00
_space_group_name_H-M_alt 'P 1'
_space_group_IT_number 1
loop_
_space_group_symop_operation_xyz
'x,y,z'
loop_
_atom_site_label
_atom_site_type_symbol
_atom_site_fract_x
_atom_site_fract_y
_atom_site_fract_z
Er1 Er 0.000 0.000 0.000
Hf1 Hf 0.333 0.667 0.505
H1 H 0.667 0.333 0.296
```



Here is crystalline Er5Hf3H12 at its relaxed geometry from Alexandria. Energies are from PBE.

- SG: Ia-3d, No. 230
- Uncorrected energy: -100.73 eV/f.u.
- Crystal system: cubic

Structure (CIF):
```
data_Er5Hf3H12
_chemical_formula_sum 'Er20 Hf12 H48'
_cell_length_a 10.728
_cell_length_b 10.728
_cell_length_c 10.728
_cell_angle_alpha 109.47
_cell_angle_beta 109.47
_cell_angle_gamma 109.47
_space_group_name_H-M_alt 'P 1'
_space_group_IT_number 1
loop_
_space_group_symop_operation_xyz
'x,y,z'
loop_
_atom_site_label
_atom_site_type_symbol
_atom_site_fract_x
_atom_site_fract_y
_atom_site_fract_z
Er1 Er 0.000 0.000 0.000
Er2 Er 0.000 0.000 0.500
Er3 Er 0.000 0.500 0.000
Er4 Er 0.000 0.500 0.500
Er5 Er 0.125 0.750 0.875
Er6 Er 0.125 0.875 0.250
Er7 Er 0.250 0.125 0.875
Er8 Er 0.250 0.625 0.375
Er9 Er 0.375 0.250 0.625
Er10 Er 0.375 0.625 0.750
Er11 Er 0.500 0.000 0.000
Er12 Er 0.500 0.000 0.500
Er13 Er 0.500 0.500 0.000
Er14 Er 0.500 0.500 0.500
Er15 Er 0.625 0.375 0.250
Er16 Er 0.625 0.750 0.375
Er17 Er 0.750 0.375 0.625
Er18 Er 0.750 0.875 0.125
Er19 Er 0.875 0.125 0.750
Er20 Er 0.875 0.250 0.125
Hf1 Hf 0.125 0.250 0.375
Hf2 Hf 0.125 0.375 0.750
Hf3 Hf 0.250 0.375 0.125
Hf4 Hf 0.250 0.875 0.625
Hf5 Hf 0.375 0.125 0.250
Hf6 Hf 0.375 0.750 0.125
Hf7 Hf 0.625 0.250 0.875
Hf8 Hf 0.625 0.875 0.750
Hf9 Hf 0.750 0.125 0.375
Hf10 Hf 0.750 0.625 0.875
Hf11 Hf 0.875 0.625 0.250
Hf12 Hf 0.875 0.750 0.625
H1 H 0.068 0.731 0.653
H2 H 0.068 0.837 0.414
H3 H 0.077 0.231 0.163
H4 H 0.077 0.347 0.914
H5 H 0.086 0.663 0.432
H6 H 0.086 0.923 0.653
H7 H 0.153 0.231 0.568
H8 H 0.153 0.423 0.586
H9 H 0.163 0.077 0.231
H10 H 0.163 0.586 0.932
H11 H 0.231 0.163 0.077
H12 H 0.231 0.568 0.153
H13 H 0.269 0.347 0.932
H14 H 0.269 0.423 0.337
H15 H 0.337 0.269 0.423
H16 H 0.337 0.568 0.914
H17 H 0.347 0.914 0.077
H18 H 0.347 0.932 0.269
H19 H 0.414 0.068 0.837
H20 H 0.414 0.847 0.577
H21 H 0.423 0.337 0.269
H22 H 0.423 0.586 0.153
H23 H 0.432 0.086 0.663
H24 H 0.432 0.847 0.769
H25 H 0.568 0.153 0.231
H26 H 0.568 0.914 0.337
H27 H 0.577 0.414 0.847
H28 H 0.577 0.663 0.731
H29 H 0.586 0.153 0.423
H30 H 0.586 0.932 0.163
H31 H 0.653 0.068 0.731
H32 H 0.653 0.086 0.923
H33 H 0.663 0.432 0.086
H34 H 0.663 0.731 0.577
H35 H 0.731 0.577 0.663
H36 H 0.731 0.653 0.068
H37 H 0.769 0.432 0.847
H38 H 0.769 0.837 0.923
H39 H 0.837 0.414 0.068
H40 H 0.837 0.923 0.769
H41 H 0.847 0.577 0.414
H42 H 0.847 0.769 0.432
H43 H 0.914 0.077 0.347
H44 H 0.914 0.337 0.568
H45 H 0.923 0.653 0.086
H46 H 0.923 0.769 0.837
H47 H 0.932 0.163 0.586
H48 H 0.932 0.269 0.347
```



Asked for total magnetic moment across the records above, the calculation gives 0.0 0.0 1.0 0.0 0.0 0.0 0.0 0.0 0.0 0.0 0.0 0.0 μB per formula unit in order.